# LiAlBr2

LiAlBr2 after structural relaxation (GGA-PBE, Alexandria via LeMat-Bulk).

Cell: 5.2328 5.2328 5.2328 Å, 60.00 60.00 60.00°
Sites, in units of the cell vectors:
Li (0.0000, 0.0000, 0.0000)
Al (0.5000, 0.5000, 0.5000)
Br (0.2500, 0.2500, 0.2500)
Br (0.7500, 0.7500, 0.7500)

Calculated values
The calculation puts the uncorrected formation energy at -0.615 eV/atom.



# LiAl2Br

LiAl2Br after structural relaxation (GGA-PBE, Alexandria via LeMat-Bulk).

Cell: 3.2646 3.2646 8.6998 Å, 90.00 90.00 115.86°
Sites, in units of the cell vectors:
Li (0.0000, 0.0000, 0.0000)
Al (0.5000, 0.5000, 0.2431)
Al (0.5000, 0.5000, 0.7569)
Br (0.0000, 0.0000, 0.5000)

Calculated values
The calculation puts the uncorrected formation energy at 0.097 eV/atom.



# LiAl2Br

LiAl2Br after structural relaxation (GGA-PBE, Alexandria via LeMat-Bulk).

Cell: 8.6821 8.6821 8.6821 Å, 22.15 22.15 22.15°
Sites, in units of the cell vectors:
Li (0.0000, 0.0000, 0.0000)
Al (0.2532, 0.2532, 0.2532)
Al (0.7468, 0.7468, 0.7468)
Br (0.5000, 0.5000, 0.5000)

Calculated values
The calculation puts the uncorrected formation energy at 0.066 eV/atom.



# LiAlBr3

LiAlBr3 after structural relaxation (GGA-PBE, Alexandria via LeMat-Bulk).

Cell: 5.3092 5.3092 5.3092 Å, 90.00 90.00 90.00°
Sites, in units of the cell vectors:
Li (0.0000, 0.0000, 0.0000)
Al (0.5000, 0.5000, 0.5000)
Br (0.0000, 0.5000, 0.5000)
Br (0.5000, 0.0000, 0.5000)
Br (0.5000, 0.5000, 0.0000)

Calculated values
The calculation puts the uncorrected formation energy at -0.792 eV/atom.



# Li2AlBr

Li2AlBr after structural relaxation (GGA-PBE, Alexandria via LeMat-Bulk).

Cell: 6.1134 6.1134 6.1134 Å, 106.86 106.86 114.83°
Sites, in units of the cell vectors:
Li (0.0860, 0.6250, 0.9610)
Li (0.3750, 0.3360, 0.4610)
Li (0.6640, 0.1250, 0.0390)
Li (0.8750, 0.9140, 0.5390)
Al (0.2500, 0.7500, 0.5000)
Al (0.5000, 0.5000, 0.0000)
Br (0.0000, 0.0000, 0.0000)
Br (0.7500, 0.2500, 0.5000)

Calculated values
The calculation puts the uncorrected formation energy at -0.351 eV/atom.



# Li2AlBr

Li2AlBr after structural relaxation (GGA-PBE, Alexandria via LeMat-Bulk).

Cell: 4.4234 3.3866 5.9124 Å, 90.00 110.65 90.00°
Sites, in units of the cell vectors:
Li (0.0000, 0.0000, 0.0000)
Li (0.0000, 0.5000, 0.5000)
Al (0.5000, 0.0000, 0.5000)
Br (0.5000, 0.5000, 0.0000)

Calculated values
The calculation puts the uncorrected formation energy at -0.352 eV/atom.



# Li3AlBr

Li3AlBr after structural relaxation (GGA-PBE, Alexandria via LeMat-Bulk).

Cell: 4.8421 4.8421 4.8421 Å, 90.00 90.00 90.00°
Sites, in units of the cell vectors:
Li (0.0000, 0.0000, 0.5000)
Li (0.0000, 0.5000, 0.0000)
Li (0.5000, 0.0000, 0.0000)
Al (0.5000, 0.5000, 0.5000)
Br (0.0000, 0.0000, 0.0000)

Calculated values
The calculation puts the uncorrected formation energy at -0.271 eV/atom.



# Li2AlBr

Li2AlBr after structural relaxation (GGA-PBE, Alexandria via LeMat-Bulk).

Cell: 5.1571 5.1571 5.1571 Å, 60.00 60.00 60.00°
Sites, in units of the cell vectors:
Li (0.0000, 0.0000, 0.0000)
Li (0.2500, 0.2500, 0.2500)
Al (0.7500, 0.7500, 0.7500)
Br (0.5000, 0.5000, 0.5000)

Calculated values
The calculation puts the uncorrected formation energy at 0.070 eV/atom.